The following is a PBE calculation of an optimized crystal structure of CrTeP2S, from Alexandria via LeMat-Bulk.

```
CrTeP2S
1.0
-3.4856 -2.7140 -1.5777
2.9998 -2.1845 -2.8695
0.8353 -2.8349 3.0314
P Cr Te S
2 1 1 1
Cartesian
1.4999 -1.0922 -1.4347
-1.7428 -1.3570 -0.7889
0.0000 0.0000 0.0000
0.1747 -3.8667 -0.7079
0.4176 -1.4174 1.5157
```

Summary:
relative energy among the computed polymorphs: 0 meV/atom
volume: 93.2 Å³/cell
energy relative to the elements, uncorrected: 0.34 eV/atom